# 1
Here is a geometry-optimized La2Dy3Y2 structure from Alexandria via LeMat-Bulk. Energies are from PBE.

- Offset from the most stable computed form: 0.0 meV/atom

Lattice parameters (Å, degrees): 3.6229 10.8345 6.2098 95.17 73.10 89.97
Last column: nearest neighbours and their distance in Å.
Positions (direct):
La: 0.7144 0.1446 0.5725  3 Y 3.59-3.62, 5 Dy 3.59-3.62, 4 La 3.62-3.65
La: 0.2856 0.8554 0.4275  3 Y 3.59-3.62, 5 Dy 3.59-3.62, 4 La 3.62-3.65
Dy: 0.0000 0.0000 0.0000  6 La 3.59-3.61, 2 Dy 3.62, 4 Y 3.65
Dy: 0.8568 0.5692 0.2853  5 Y 3.56-3.60, 5 Dy 3.57-3.62, 2 La 3.62
Dy: 0.1432 0.4308 0.7147  5 Y 3.56-3.60, 5 Dy 3.57-3.62, 2 La 3.62
Y: 0.4292 0.2898 0.1404  7 Dy 3.56-3.65, 3 La 3.59-3.62, 2 Y 3.62
Y: 0.5708 0.7102 0.8596  7 Dy 3.56-3.65, 3 La 3.59-3.62, 2 Y 3.62

---

# 2
Here is a geometry-optimized La12Dy7Y structure from Alexandria via LeMat-Bulk. Energies are from PBE.

Lattice parameters (Å, degrees): 6.3803 11.5213 11.5213 116.67 100.64 100.64
Last column: nearest neighbours and their distance in Å.
Positions (direct):
La: 0.0923 0.5921 0.1842  3 La 3.31-3.61, 2 Dy 3.38
La: 0.0919 0.1842 0.5921  3 La 3.31-3.61, 2 Dy 3.38
La: 0.5725 0.6460 0.0000  1 La 3.32, 4 Dy 3.36-3.64
La: 0.4275 0.0000 0.3540  1 La 3.32, 4 Dy 3.36-3.64
La: 0.4998 0.4079 0.5921  3 La 3.31-3.61, 2 Dy 3.38
La: 0.0735 0.6460 0.6460  1 La 3.32, 4 Dy 3.36-3.64
La: 0.9265 0.3540 0.3540  1 La 3.32, 4 Dy 3.36-3.64
La: 0.5002 0.5921 0.4079  3 La 3.31-3.61, 2 Dy 3.38
La: 0.5725 0.0000 0.6460  1 La 3.32, 4 Dy 3.36-3.64
La: 0.4275 0.3540 0.0000  1 La 3.32, 4 Dy 3.36-3.64
La: 0.9081 0.8158 0.4079  3 La 3.31-3.61, 2 Dy 3.38
La: 0.9077 0.4079 0.8158  3 La 3.31-3.61, 2 Dy 3.38
Dy: 0.1148 0.7516 0.0000  1 Y 3.08, 4 La 3.36-3.45, 1 Dy 3.41
Dy: 0.8852 0.0000 0.2484  1 Y 3.08, 4 La 3.36-3.45, 1 Dy 3.41
Dy: 0.6368 0.7516 0.7516  1 Y 3.08, 4 La 3.36-3.45, 1 Dy 3.41
Dy: 0.5000 0.0000 0.0000  2 Y 3.19, 6 Dy 3.41
Dy: 0.3632 0.2484 0.2484  1 Y 3.08, 4 La 3.36-3.45, 1 Dy 3.41
Dy: 0.1148 0.0000 0.7516  1 Y 3.08, 4 La 3.36-3.45, 1 Dy 3.41
Dy: 0.8852 0.2484 0.0000  1 Y 3.08, 4 La 3.36-3.45, 1 Dy 3.41
Y: 0.0000 0.0000 0.0000  8 Dy 3.08-3.19

---

Number 1: E_form 0.15 eV per formula unit. Number 2: E_form 3.86 eV per formula unit.